Compound: Nd2AgSe4
Source: Alexandria
Functional: PBE-GGA
Structure: relaxed

Lattice parameters (Å, degrees): 7.378 5.876 8.527 90.00 105.90 90.00
Space group P2_1/m (No. 11)
One atom of each set of equivalent atoms:
Nd 0.223 0.250 0.421
Nd 0.244 0.250 0.938
Ag 0.236 0.750 0.676
Se 0.056 0.750 0.374
Se 0.069 0.750 0.905
Se 0.467 0.515 0.241

Computed properties:
Mass density in g cm⁻³: 6.65
Calculated total energy in eV/cell: -70.9
Total magnetization in μB per cell: 0.00

---

Compound: Al3VTe
Source: Alexandria
Functional: PBE-GGA
Structure: relaxed

Lattice parameters (Å, degrees): 5.020 5.020 5.020 90.00 90.00 90.00
Space group Pm-3m (No. 221)
One atom of each set of equivalent atoms:
Al 0.000 0.000 0.500
V 0.000 0.000 0.000
Te 0.500 0.500 0.500

Computed properties:
Mass density in g cm⁻³: 3.41
Polymorph energy (0 for the lowest one) in meV/atom: 0.0
Calculated total energy in eV/cell: -20.0
Total magnetization in μB per cell: 4.25

---

Compound: SbHIrNF
Source: Alexandria
Functional: PBE-GGA
Structure: relaxed

Lattice parameters (Å, degrees): 3.716 3.879 6.532 79.32 73.59 77.37
Space group P1 (No. 1)
One atom of each set of equivalent atoms:
Sb 0.000 0.000 0.000
H 0.841 0.464 0.505
Ir 0.635 0.934 0.721
N 0.681 0.446 0.667
F 0.113 0.523 0.192

Computed properties:
Mass density in g cm⁻³: 6.61
Polymorph energy (0 for the lowest one) in meV/atom: 8.6
Calculated total energy in eV/cell: -28.2
Total magnetization in μB per cell: 0.00